(1)
VASP calculation (PBE) on a relaxed structure of Ta2PbAu.

Cell and atoms, written as POSCAR:
```
Ta2PbAu
1.0
3.598 0.000 0.000
0.000 3.598 0.000
0.000 0.000 6.246
Ta Pb Au
2 1 1
Direct
0.000 0.000 0.000 Ta
0.500 0.500 0.197 Ta
0.500 0.500 0.711 Pb
0.000 0.000 0.453 Au
```

Computed properties:
V: 20.22 Å³ per atom
Formation enthalpy at 0 K: 0.251 eV per atom

---

(2)
VASP calculation (PBE) on a relaxed structure of CeGdPuIr.

Cell and atoms, written as POSCAR:
```
CeGdPuIr
1.0
7.150 0.000 0.000
0.000 7.150 0.000
0.000 0.000 7.150
Ce Gd Pu Ir
4 4 4 4
Direct
0.000 0.000 0.000 Ce
0.000 0.500 0.500 Ce
0.500 0.000 0.500 Ce
0.500 0.500 0.000 Ce
0.000 0.000 0.500 Gd
0.000 0.500 0.000 Gd
0.500 0.000 0.000 Gd
0.500 0.500 0.500 Gd
0.250 0.250 0.250 Pu
0.250 0.750 0.750 Pu
0.750 0.250 0.750 Pu
0.750 0.750 0.250 Pu
0.250 0.250 0.750 Ir
0.250 0.750 0.250 Ir
0.750 0.250 0.250 Ir
0.750 0.750 0.750 Ir
```

Computed properties:
V: 22.85 Å³ per atom
Formation enthalpy at 0 K: -0.158 eV per atom

---

(3)
VASP calculation (PBE) on a relaxed structure of CsBi2.

Cell and atoms, written as POSCAR:
```
CsBi2
1.0
4.286 0.000 0.000
0.000 4.286 0.000
0.000 0.000 13.972
Cs Bi
2 4
Direct
0.000 0.000 0.000 Cs
0.500 0.500 0.500 Cs
0.000 0.000 0.291 Bi
0.000 0.000 0.709 Bi
0.500 0.500 0.209 Bi
0.500 0.500 0.791 Bi
```

Computed properties:
V: 42.78 Å³ per atom
Formation enthalpy at 0 K: -0.264 eV per atom

---

(4)
VASP calculation (PBE) on a relaxed structure of HfTlAs3.

Cell and atoms, written as POSCAR:
```
HfTlAs3
1.0
5.142 0.000 0.000
0.000 5.142 0.000
0.000 0.000 5.142
Hf Tl As
1 1 3
Direct
0.000 0.000 0.000 Hf
0.500 0.500 0.500 Tl
0.000 0.500 0.500 As
0.500 0.000 0.500 As
0.500 0.500 0.000 As
```

Computed properties:
V: 27.19 Å³ per atom
Formation enthalpy at 0 K: 1.214 eV per atom

---

(5)
VASP calculation (PBE) on a relaxed structure of MgMn2TlZn.

Cell and atoms, written as POSCAR:
```
MgMn2TlZn
1.0
5.190 0.000 0.000
0.000 5.190 0.000
0.000 0.000 5.290
Mg Mn Tl Zn
1 2 1 1
Direct
0.000 0.000 0.000 Mg
0.000 0.500 0.500 Mn
0.500 0.000 0.500 Mn
0.000 0.000 0.500 Tl
0.500 0.500 0.000 Zn
```

Computed properties:
V: 28.50 Å³ per atom
Formation enthalpy at 0 K: 1.023 eV per atom

---

(6)
VASP calculation (PBE) on a relaxed structure of Ru2Pb.

Cell and atoms, written as POSCAR:
```
Ru2Pb
1.0
10.118 0.000 0.000
0.000 3.024 0.000
-0.995 0.000 6.869
Ru Pb
8 4
Direct
0.000 0.000 0.000 Ru
0.105 0.000 0.654 Ru
0.235 0.500 0.412 Ru
0.380 0.000 0.703 Ru
0.500 0.500 0.000 Ru
0.605 0.500 0.654 Ru
0.735 0.000 0.412 Ru
0.880 0.500 0.703 Ru
0.227 0.500 0.979 Pb
0.462 0.000 0.334 Pb
0.727 0.000 0.979 Pb
0.962 0.500 0.334 Pb
```

Computed properties:
V: 17.51 Å³ per atom
Formation enthalpy at 0 K: 0.535 eV per atom

---

(7)
VASP calculation (PBE) on a relaxed structure of LiMn4S8.

Cell and atoms, written as POSCAR:
```
LiMn4S8
1.0
0.000 4.888 4.888
4.888 0.000 4.888
4.888 4.888 0.000
Li Mn S
1 4 8
Direct
0.000 0.000 0.000 Li
0.377 0.377 0.377 Mn
0.377 0.377 0.868 Mn
0.377 0.868 0.377 Mn
0.868 0.377 0.377 Mn
0.137 0.137 0.137 S
0.137 0.137 0.590 S
0.137 0.590 0.137 S
0.153 0.616 0.616 S
0.590 0.137 0.137 S
0.616 0.153 0.616 S
0.616 0.616 0.153 S
0.616 0.616 0.616 S
```

Computed properties:
V: 17.97 Å³ per atom
Uncorrected formation energy: -0.648 eV/atom

---

(8)
VASP calculation (PBE) on a relaxed structure of Zr2IrPb.

Cell and atoms, written as POSCAR:
```
Zr2IrPb
1.0
3.283 0.000 0.000
-1.641 2.843 0.000
0.000 0.000 28.600
Zr Ir Pb
6 3 3
Direct
0.000 0.000 0.000 Zr
0.000 0.000 0.244 Zr
0.333 0.667 0.667 Zr
0.333 0.667 0.911 Zr
0.667 0.333 0.333 Zr
0.667 0.333 0.577 Zr
0.000 0.000 0.733 Ir
0.333 0.667 0.400 Ir
0.667 0.333 0.067 Ir
0.000 0.000 0.483 Pb
0.333 0.667 0.150 Pb
0.667 0.333 0.816 Pb
```

Computed properties:
V: 22.24 Å³ per atom
Formation enthalpy at 0 K: -0.005 eV per atom

---

(9)
VASP calculation (PBE) on a relaxed structure of Sr3Eu.

Cell and atoms, written as POSCAR:
```
Sr3Eu
1.0
8.367 0.000 0.000
-4.183 7.246 0.000
0.000 0.000 6.909
Sr Eu
6 2
Direct
0.168 0.336 0.250 Sr
0.168 0.832 0.250 Sr
0.336 0.168 0.750 Sr
0.664 0.832 0.250 Sr
0.832 0.168 0.750 Sr
0.832 0.664 0.750 Sr
0.333 0.667 0.750 Eu
0.667 0.333 0.250 Eu
```

Computed properties:
V: 52.35 Å³ per atom
Formation enthalpy at 0 K: 0.028 eV per atom

---

(10)
VASP calculation (PBE) on a relaxed structure of SrNd4Tl4.

Cell and atoms, written as POSCAR:
```
SrNd4Tl4
1.0
9.748 0.000 0.000
0.000 9.748 0.000
0.000 0.000 6.167
Sr Nd Tl
2 8 8
Direct
0.250 0.250 0.250 Sr
0.750 0.750 0.750 Sr
0.095 0.832 0.631 Nd
0.168 0.595 0.131 Nd
0.332 0.905 0.131 Nd
0.405 0.668 0.631 Nd
0.595 0.332 0.369 Nd
0.668 0.095 0.869 Nd
0.832 0.405 0.869 Nd
0.905 0.168 0.369 Nd
0.037 0.140 0.857 Tl
0.140 0.463 0.643 Tl
0.360 0.037 0.643 Tl
0.463 0.360 0.857 Tl
0.537 0.640 0.143 Tl
0.640 0.963 0.357 Tl
0.860 0.537 0.357 Tl
0.963 0.860 0.143 Tl
```

Computed properties:
V: 32.55 Å³ per atom
Formation enthalpy at 0 K: -0.183 eV per atom

---

(11)
VASP calculation (PBE) on a relaxed structure of Pt2W.

Cell and atoms, written as POSCAR:
```
Pt2W
1.0
10.399 0.000 0.000
0.000 2.807 0.000
-1.690 0.000 6.452
Pt W
8 4
Direct
0.000 0.000 0.000 Pt
0.055 0.000 0.601 Pt
0.176 0.500 0.323 Pt
0.332 0.000 0.671 Pt
0.500 0.500 0.000 Pt
0.555 0.500 0.601 Pt
0.676 0.000 0.323 Pt
0.832 0.500 0.671 Pt
0.222 0.500 0.940 W
0.394 0.000 0.276 W
0.722 0.000 0.940 W
0.894 0.500 0.276 W
```

Computed properties:
V: 15.69 Å³ per atom
Formation enthalpy at 0 K: -0.157 eV per atom

---

(12)
VASP calculation (PBE) on a relaxed structure of CaZnSN2.

Cell and atoms, written as POSCAR:
```
CaZnSN2
1.0
4.011 0.000 0.000
0.000 4.011 0.000
0.000 0.000 5.149
Ca Zn S N
1 1 1 2
Direct
0.000 0.000 0.000 Ca
0.500 0.500 0.500 Zn
0.500 0.500 0.000 S
0.000 0.500 0.500 N
0.500 0.000 0.500 N
```

Computed properties:
V: 16.57 Å³ per atom
Uncorrected formation energy: 0.513 eV/atom